No. 1
Density functional theory data (PBE) for a geometry-optimized AcAsP2S8 structure.

## Properties
The magnetic moment comes out at 0.0 Bohr magnetons per cell. For the uncorrected formation energy, the calculation gives -0.42 eV per atom.

```
data_AcAsP2S8
_cell_length_a 6.5769
_cell_length_b 6.5769
_cell_length_c 8.7015
_cell_angle_alpha 90.00
_cell_angle_beta 90.00
_cell_angle_gamma 120.00
_symmetry_space_group_name_H-M 'P -3 m 1'
_symmetry_Int_Tables_number 164
_symmetry_space_group_name_Hall '-P 3 2"'
loop_
_atom_site_label
_atom_site_fract_x
_atom_site_fract_y
_atom_site_fract_z
Ac1 0.0000 0.0000 0.0000
As1 0.0000 0.0000 0.5000
P1 0.3333 0.6667 0.2196
S1 0.1591 0.3183 0.2874
S2 0.3333 0.6667 0.9888
```


No. 2
Density functional theory data (PBE) for a geometry-optimized Tl3C structure.

## Properties
For the energy relative to the elements, the calculation gives 0.9930 eV per atom. The magnetic moment comes out at 0.2 Bohr magnetons per cell. Its offset from the most stable computed form is 407 meV/atom.

```
data_Tl3C
_cell_length_a 3.7495
_cell_length_b 3.7495
_cell_length_c 24.4267
_cell_angle_alpha 90.00
_cell_angle_beta 90.00
_cell_angle_gamma 120.00
_symmetry_space_group_name_H-M 'R -3 m'
_symmetry_Int_Tables_number 166
_symmetry_space_group_name_Hall '-R 3 2"'
loop_
_atom_site_label
_atom_site_fract_x
_atom_site_fract_y
_atom_site_fract_z
Tl1 0.0000 0.0000 0.0000
Tl2 0.0000 0.0000 0.2207
C1 0.0000 0.0000 0.5000
```


No. 3
Density functional theory data (PBE) for a geometry-optimized Pr2EuSb structure.

## Properties
The magnetic moment comes out at 7.8 Bohr magnetons per cell. Its offset from the most stable computed form is 42 meV/atom. For the uncorrected formation energy, the calculation gives -0.48 eV per atom.

```
data_Pr2EuSb
_cell_length_a 4.253
_cell_length_b 4.253
_cell_length_c 7.243
_cell_angle_alpha 90.00
_cell_angle_beta 90.00
_cell_angle_gamma 90.00
_symmetry_space_group_name_H-M 'P 4/m m m'
_symmetry_Int_Tables_number 123
_symmetry_space_group_name_Hall '-P 4 2'
loop_
_atom_site_label
_atom_site_fract_x
_atom_site_fract_y
_atom_site_fract_z
Pr1 0.000 0.000 0.223
Eu1 0.500 0.500 0.500
Sb1 0.500 0.500 0.000
```


No. 4
Density functional theory data (PBE) for a geometry-optimized CsTi2Mo2 structure.

## Properties
For the energy relative to the elements, the calculation gives 0.8440 eV per atom. The magnetic moment comes out at 0.0 Bohr magnetons per cell. Its offset from the most stable computed form is 0 meV/atom.

```
data_CsTi2Mo2
_cell_length_a 8.571
_cell_length_b 8.571
_cell_length_c 3.148
_cell_angle_alpha 90.00
_cell_angle_beta 90.00
_cell_angle_gamma 90.00
_symmetry_space_group_name_H-M 'P 4/m b m'
_symmetry_Int_Tables_number 127
_symmetry_space_group_name_Hall '-P 4 2ab'
loop_
_atom_site_label
_atom_site_fract_x
_atom_site_fract_y
_atom_site_fract_z
Cs1 0.000 0.000 0.000
Ti1 0.122 0.378 0.500
Mo1 0.120 0.620 0.000
```


No. 5
Density functional theory data (PBE) for a geometry-optimized Tm3TiNb3N8 structure.

## Properties
The magnetic moment comes out at 0.0 Bohr magnetons per cell. For the uncorrected formation energy, the calculation gives -1.39 eV per atom.

```
data_Tm3TiNb3N8
_cell_length_a 6.2923
_cell_length_b 6.2923
_cell_length_c 16.2193
_cell_angle_alpha 90.00
_cell_angle_beta 90.00
_cell_angle_gamma 120.00
_symmetry_space_group_name_H-M 'R -3 m'
_symmetry_Int_Tables_number 166
_symmetry_space_group_name_Hall '-R 3 2"'
loop_
_atom_site_label
_atom_site_fract_x
_atom_site_fract_y
_atom_site_fract_z
Tm1 0.0000 0.5000 0.0000
Ti1 0.0000 0.0000 0.5000
Nb1 0.0000 0.5000 0.5000
N1 0.0000 0.0000 0.2458
N2 0.0110 0.5055 0.2395
```


No. 6
Density functional theory data (PBE) for a geometry-optimized CrGaFe structure.

## Properties
For the energy relative to the elements, the calculation gives -0.0200 eV per atom. The magnetic moment comes out at 0.0 Bohr magnetons per cell.

```
data_CrGaFe
_cell_length_a 2.782
_cell_length_b 2.782
_cell_length_c 9.251
_cell_angle_alpha 90.00
_cell_angle_beta 90.00
_cell_angle_gamma 90.00
_symmetry_space_group_name_H-M 'I 4 m m'
_symmetry_Int_Tables_number 107
_symmetry_space_group_name_Hall 'I 4 -2'
loop_
_atom_site_label
_atom_site_fract_x
_atom_site_fract_y
_atom_site_fract_z
Cr1 0.000 0.000 0.000
Ga1 0.000 0.000 0.682
Fe1 0.000 0.000 0.352
```


No. 7
Density functional theory data (PBE) for a geometry-optimized HgP2I structure.

## Properties
The magnetic moment comes out at 0.0 Bohr magnetons per cell. Its offset from the most stable computed form is 0 meV/atom. For the uncorrected formation energy, the calculation gives 0.80 eV per atom.

```
data_HgP2I
_cell_length_a 5.654
_cell_length_b 5.654
_cell_length_c 14.450
_cell_angle_alpha 90.00
_cell_angle_beta 90.00
_cell_angle_gamma 90.00
_symmetry_space_group_name_H-M 'I -4 2 d'
_symmetry_Int_Tables_number 122
_symmetry_space_group_name_Hall 'I -4 2bw'
loop_
_atom_site_label
_atom_site_fract_x
_atom_site_fract_y
_atom_site_fract_z
Hg1 0.000 0.000 0.000
P1 0.224 0.250 0.125
I1 0.000 0.000 0.500
```


No. 8
Density functional theory data (PBE) for a geometry-optimized Ti2Nb2Cd structure.

## Properties
For the energy relative to the elements, the calculation gives 0.2419 eV per atom. The magnetic moment comes out at 0.0 Bohr magnetons per cell. Its offset from the most stable computed form is 199 meV/atom.

```
data_Ti2Nb2Cd
_cell_length_a 7.390
_cell_length_b 7.390
_cell_length_c 3.500
_cell_angle_alpha 90.00
_cell_angle_beta 90.00
_cell_angle_gamma 90.00
_symmetry_space_group_name_H-M 'P 4/m b m'
_symmetry_Int_Tables_number 127
_symmetry_space_group_name_Hall '-P 4 2ab'
loop_
_atom_site_label
_atom_site_fract_x
_atom_site_fract_y
_atom_site_fract_z
Ti1 0.168 0.332 0.000
Nb1 0.127 0.627 0.500
Cd1 0.000 0.000 0.500
```


No. 9
Density functional theory data (PBE) for a geometry-optimized TaZn3Ga structure.

## Properties
For the energy relative to the elements, the calculation gives 0.9889 eV per atom. The magnetic moment comes out at 0.0 Bohr magnetons per cell. Its offset from the most stable computed form is 0 meV/atom.

```
data_TaZn3Ga
_cell_length_a 4.548
_cell_length_b 4.548
_cell_length_c 4.548
_cell_angle_alpha 90.00
_cell_angle_beta 90.00
_cell_angle_gamma 90.00
_symmetry_space_group_name_H-M 'P m -3 m'
_symmetry_Int_Tables_number 221
_symmetry_space_group_name_Hall '-P 4 2 3'
loop_
_atom_site_label
_atom_site_fract_x
_atom_site_fract_y
_atom_site_fract_z
Ta1 0.000 0.000 0.000
Zn1 0.000 0.500 0.500
Ga1 0.500 0.500 0.500
```


No. 10
Density functional theory data (PBE) for a geometry-optimized La2SnRh structure.

## Properties
For the energy relative to the elements, the calculation gives -0.5333 eV per atom. The magnetic moment comes out at 0.0 Bohr magnetons per cell.

```
data_La2SnRh
_cell_length_a 8.319
_cell_length_b 8.319
_cell_length_c 6.495
_cell_angle_alpha 90.00
_cell_angle_beta 90.00
_cell_angle_gamma 90.00
_symmetry_space_group_name_H-M 'I -4 2 d'
_symmetry_Int_Tables_number 122
_symmetry_space_group_name_Hall 'I -4 2bw'
loop_
_atom_site_label
_atom_site_fract_x
_atom_site_fract_y
_atom_site_fract_z
La1 0.193 0.750 0.125
Sn1 0.000 0.000 0.500
Rh1 0.000 0.000 0.000
```


No. 11
Density functional theory data (PBE) for a geometry-optimized AcNi2N4 structure.

## Properties
The magnetic moment comes out at 0.0 Bohr magnetons per cell. For the uncorrected formation energy, the calculation gives -0.10 eV per atom.

```
data_AcNi2N4
_cell_length_a 3.719
_cell_length_b 4.527
_cell_length_c 5.488
_cell_angle_alpha 101.34
_cell_angle_beta 94.55
_cell_angle_gamma 98.31
_symmetry_space_group_name_H-M 'P -1'
_symmetry_Int_Tables_number 2
_symmetry_space_group_name_Hall '-P 1'
loop_
_atom_site_label
_atom_site_fract_x
_atom_site_fract_y
_atom_site_fract_z
Ac1 0.000 0.000 0.000
Ni1 0.451 0.731 0.409
N1 0.020 0.153 0.532
N2 0.404 0.596 0.050
```


No. 12
Density functional theory data (PBE) for a geometry-optimized Tb3MgNi structure.

## Properties
For the energy relative to the elements, the calculation gives -0.1919 eV per atom. The magnetic moment comes out at 0.0 Bohr magnetons per cell. Its offset from the most stable computed form is 0 meV/atom.

```
data_Tb3MgNi
_cell_length_a 12.505
_cell_length_b 3.634
_cell_length_c 11.554
_cell_angle_alpha 90.00
_cell_angle_beta 99.76
_cell_angle_gamma 90.00
_symmetry_space_group_name_H-M 'C 1 2/m 1'
_symmetry_Int_Tables_number 12
_symmetry_space_group_name_Hall '-C 2y'
loop_
_atom_site_label
_atom_site_fract_x
_atom_site_fract_y
_atom_site_fract_z
Tb1 0.004 0.000 0.179
Tb2 0.121 0.500 0.436
Tb3 0.207 0.500 0.740
Mg1 0.157 0.500 0.027
Ni1 0.070 0.000 0.604
```


DOS(E_F) readings, ordered: 0.079, 0.690, 1.184, 0.995, 0.106, 0.986, 0.423, 1.157, 0.448, 1.055, 0.562, 0.981 states/eV/atom